Entry from the Alexandria database: an optimized crystal structure of Er6NiSe3S2 (PBE).

```
Er6NiSe3S2
1.0
3.4381 -5.9539 0.0000
3.4381 5.9539 0.0000
-2.3200 0.0000 6.5440
Er Ni Se S
6 1 3 2
Direct
0.0742 0.3941 0.2264 Er
0.2439 0.2439 0.7693 Er
0.3941 0.0742 0.2264 Er
0.6059 0.9258 0.7736 Er
0.7561 0.7561 0.2307 Er
0.9258 0.6059 0.7736 Er
0.0000 0.0000 0.0000 Ni
0.1744 0.8256 0.5000 Se
0.5000 0.5000 0.5000 Se
0.8256 0.1744 0.5000 Se
0.3344 0.6656 0.0000 S
0.6656 0.3344 0.0000 S
```

Computed properties:
total magnetic moment	0.00	Bohr magnetons per cell
space group	No. 12
total energy	-71.22	eV/cell

***

Entry from the Alexandria database: an optimized crystal structure of Tl6Bi3Pb (PBE).

```
Tl6Bi3Pb
1.0
5.9699 0.0000 0.0000
0.0000 9.4835 0.0000
-5.5733 0.0000 12.1299
Tl Bi Pb
12 6 2
Direct
0.0537 0.1564 0.0745 Tl
0.0537 0.3436 0.5745 Tl
0.3692 0.7475 0.7606 Tl
0.3692 0.7525 0.2606 Tl
0.4010 0.1515 0.4160 Tl
0.4010 0.3485 0.9160 Tl
0.5990 0.6515 0.0840 Tl
0.5990 0.8485 0.5840 Tl
0.6308 0.2475 0.7394 Tl
0.6308 0.2525 0.2394 Tl
0.9463 0.6564 0.4255 Tl
0.9463 0.8436 0.9255 Tl
0.0895 0.0633 0.7549 Bi
0.0895 0.4367 0.2549 Bi
0.5000 0.0000 0.0000 Bi
0.5000 0.5000 0.5000 Bi
0.9105 0.5633 0.7451 Bi
0.9105 0.9367 0.2451 Bi
0.0000 0.0000 0.5000 Pb
0.0000 0.5000 0.0000 Pb
```

Computed properties:
total magnetic moment	0.00	Bohr magnetons per cell
space group	No. 14
ΔE_f	39	meV per atom
excess energy over the best structure of this formula in the dataset	0.18	eV/f.u.
total energy	-58.31	eV/cell

***

Entry from the Alexandria database: an optimized crystal structure of YCu4P (PBE).

```
YCu4P
1.0
0.0000 3.5716 3.5716
3.5716 0.0000 3.5716
3.5716 3.5716 0.0000
Y Cu P
1 4 1
Direct
0.0000 0.0000 0.0000 Y
0.1274 0.6242 0.6242 Cu
0.6242 0.1274 0.6242 Cu
0.6242 0.6242 0.1274 Cu
0.6242 0.6242 0.6242 Cu
0.2500 0.2500 0.2500 P
```

Computed properties:
total magnetic moment	0.00	Bohr magnetons per cell
space group	No. 216
ΔE_f	-137	meV per atom
total energy	-29.08	eV/cell

***

Entry from the Alexandria database: an optimized crystal structure of LuCdGa2 (PBE).

```
LuCdGa2
1.0
2.2344 1.2901 4.8872
-2.2344 1.2901 4.8872
0.0000 -2.5801 4.8872
Lu Cd Ga
1 1 2
Direct
0.0000 0.0000 0.0000 Lu
0.5000 0.5000 0.5000 Cd
0.2336 0.2336 0.2336 Ga
0.7664 0.7664 0.7664 Ga
```

Computed properties:
total magnetic moment	0.00	Bohr magnetons per cell
space group	No. 166
ΔE_f	-260	meV per atom
excess energy over the best structure of this formula in the dataset	0.48	eV/f.u.
total energy	-12.53	eV/cell

***

Entry from the Alexandria database: an optimized crystal structure of YRe2 (PBE).

```
YRe2
1.0
2.1313 -5.3385 0.0000
2.1313 5.3385 0.0000
0.0000 0.0000 5.3936
Y Re
2 4
Direct
0.2192 0.7808 0.7500 Y
0.7808 0.2192 0.2500 Y
0.0559 0.9441 0.2500 Re
0.5000 0.5000 0.0000 Re
0.5000 0.5000 0.5000 Re
0.9441 0.0559 0.7500 Re
```

Computed properties:
total magnetic moment	0.00	Bohr magnetons per cell
space group	No. 63
ΔE_f	-19	meV per atom
total energy	-62.83	eV/cell

***

Entry from the Alexandria database: an optimized crystal structure of AlReSe2 (PBE).

```
AlReSe2
1.0
-1.6601 2.0088 6.1681
1.6601 -2.0088 6.1681
1.6601 2.0088 -6.1681
Al Re Se
1 1 2
Direct
0.0000 0.0000 0.0000 Al
0.5000 0.5000 0.0000 Re
0.3427 0.8427 0.5000 Se
0.6573 0.1573 0.5000 Se
```

Computed properties:
total magnetic moment	0.00	Bohr magnetons per cell
space group	No. 71
total energy	-23.21	eV/cell

***

Entry from the Alexandria database: an optimized crystal structure of AlBPdAu2 (PBE).

```
AlBPdAu2
1.0
4.3492 0.0000 0.0000
0.0000 4.3492 0.0000
0.0000 0.0000 4.2564
Al B Pd Au
1 1 1 2
Direct
0.0000 0.0000 0.0000 Al
0.5000 0.5000 0.5000 B
0.5000 0.5000 0.0000 Pd
0.0000 0.5000 0.5000 Au
0.5000 0.0000 0.5000 Au
```

Computed properties:
total magnetic moment	0.00	Bohr magnetons per cell
space group	No. 123
ΔE_f	131	meV per atom
total energy	-21.51	eV/cell

***

Entry from the Alexandria database: an optimized crystal structure of RbCd2In (PBE).

```
RbCd2In
1.0
6.5411 0.0000 0.0000
0.0000 4.9156 0.0000
0.0000 0.0000 15.5824
Rb Cd In
4 8 4
Direct
0.0016 0.2500 0.0875 Rb
0.4984 0.7500 0.5875 Rb
0.5016 0.2500 0.4125 Rb
0.9984 0.7500 0.9125 Rb
0.0019 0.2500 0.3122 Cd
0.2485 0.2500 0.7500 Cd
0.2515 0.7500 0.2500 Cd
0.4981 0.7500 0.8122 Cd
0.5019 0.2500 0.1878 Cd
0.7485 0.2500 0.7500 Cd
0.7515 0.7500 0.2500 Cd
0.9981 0.7500 0.6878 Cd
0.0005 0.7500 0.4343 In
0.4995 0.2500 0.9343 In
0.5005 0.7500 0.0657 In
0.9995 0.2500 0.5657 In
```

Computed properties:
total magnetic moment	0.00	Bohr magnetons per cell
space group	No. 62
ΔE_f	-32	meV per atom
total energy	-22.65	eV/cell

***

Copy entry 1 word for word.
Entry from the Alexandria database: an optimized crystal structure of Er6NiSe3S2 (PBE).

```
Er6NiSe3S2
1.0
3.4381 -5.9539 0.0000
3.4381 5.9539 0.0000
-2.3200 0.0000 6.5440
Er Ni Se S
6 1 3 2
Direct
0.0742 0.3941 0.2264 Er
0.2439 0.2439 0.7693 Er
0.3941 0.0742 0.2264 Er
0.6059 0.9258 0.7736 Er
0.7561 0.7561 0.2307 Er
0.9258 0.6059 0.7736 Er
0.0000 0.0000 0.0000 Ni
0.1744 0.8256 0.5000 Se
0.5000 0.5000 0.5000 Se
0.8256 0.1744 0.5000 Se
0.3344 0.6656 0.0000 S
0.6656 0.3344 0.0000 S
```

Computed properties:
total magnetic moment	0.00	Bohr magnetons per cell
space group	No. 12
total energy	-71.22	eV/cell